[1]
Density functional theory data (PBE) for YPRu after structural relaxation.

Unit cell a=6.1786 b=6.1786 c=6.1786 alpha=90.00 beta=90.00 gamma=90.00
With the nearest neighbours (Å) after each atom.
Space group F-43m (No. 216)
Inequivalent atoms, fractional coordinates:
Y 0.0000 0.0000 0.0000 x4  4 Ru 2.68
P 0.0000 0.0000 0.5000 x4  4 Ru 2.68
Ru 0.2500 0.2500 0.7500 x4  4 P 2.68, 4 Y 2.68

ΔE_f   -0.386 eV/atom
DOS(E_F)   12.811 states/eV per cell



[2]
Density functional theory data (PBE) for TbY3C2 after structural relaxation.

Unit cell a=7.1938 b=7.1938 c=6.2706 alpha=90.00 beta=90.00 gamma=120.00
With the nearest neighbours (Å) after each atom.
Space group P-3m1 (No. 164)
Inequivalent atoms, fractional coordinates:
Tb 0.3333 0.6667 0.2164 x2  3 C 2.48
Y 0.1666 0.3333 0.7846 x6  3 C 2.48
C 0.0000 0.0000 0.0000 x1  6 Y 2.48
C 0.0000 0.5000 0.0000 x3  4 Y 2.48, 2 Tb 2.48

ΔE_f   -0.260 eV/atom
DOS(E_F)   9.375 states/eV per cell



[3]
Density functional theory data (PBE) for Mg2TlFe after structural relaxation.

Unit cell a=3.9119 b=4.3434 c=8.8868 alpha=90.00 beta=90.00 gamma=90.00
With the nearest neighbours (Å) after each atom.
Space group Imm2 (No. 44)
Inequivalent atoms, fractional coordinates:
Mg 0.0000 0.0000 0.0000 x2  4 Fe 2.92, 4 Tl 3.02-3.05, 4 Mg 3.02-3.05
Mg 0.0000 0.5000 0.2369 x2  4 Fe 2.90-3.17, 4 Tl 2.93, 4 Mg 3.02-3.05
Tl 0.0000 0.5000 0.7590 x2  4 Fe 2.88-3.19, 8 Mg 2.93-3.05
Fe 0.0000 0.0000 0.4966 x2  4 Tl 2.88-3.19, 8 Mg 2.90-3.17

ΔE_f   0.257 eV/atom
DOS(E_F)   8.748 states/eV per cell



[4]
Density functional theory data (PBE) for BaSbPb2 after structural relaxation.

Unit cell a=4.8843 b=4.8843 c=11.4364 alpha=90.00 beta=90.00 gamma=90.00
With the nearest neighbours (Å) after each atom.
Space group I4/mmm (No. 139)
Inequivalent atoms, fractional coordinates:
Ba 0.0000 0.0000 0.0000 x2  4 Sb 3.45, 8 Pb 3.76
Sb 0.0000 0.0000 0.5000 x2  4 Ba 3.45, 8 Pb 3.76
Pb 0.0000 0.5000 0.2500 x4  4 Pb 3.45, 4 Ba 3.76, 4 Sb 3.76

Calculated total energy   -3.705 eV per atom
DOS(E_F)   5.739 states/eV per cell



[5]
Density functional theory data (PBE) for ReMo2Rh after structural relaxation.

Unit cell a=2.7755 b=2.7755 c=27.3903 alpha=90.00 beta=90.00 gamma=120.00
With the nearest neighbours (Å) after each atom.
Space group R-3m (No. 166, hexagonal axes)
Inequivalent atoms, fractional coordinates:
Re 0.0000 0.0000 0.0000 x3  6 Re 2.78, 6 Mo 2.81
Mo 0.0000 0.0000 0.2490 x6  3 Rh 2.77, 6 Mo 2.78, 3 Re 2.81
Rh 0.0000 0.0000 0.5000 x3  6 Mo 2.77, 6 Rh 2.78

ΔE_f   0.103 eV/atom
DOS(E_F)   20.833 states/eV per cell



[6]
Density functional theory data (PBE) for MnBi3 after structural relaxation.

Unit cell a=4.8534 b=4.8534 c=4.8534 alpha=90.00 beta=90.00 gamma=90.00
With the nearest neighbours (Å) after each atom.
Space group Pm-3m (No. 221)
Inequivalent atoms, fractional coordinates:
Mn 0.0000 0.0000 0.0000 x1  12 Bi 3.43
Bi 0.0000 0.5000 0.5000 x3  4 Mn 3.43, 8 Bi 3.43

ΔE_f   0.389 eV/atom
DOS(E_F)   3.315 states/eV per cell



What did the first record say?
Density functional theory data (PBE) for YPRu after structural relaxation.

Unit cell a=6.1786 b=6.1786 c=6.1786 alpha=90.00 beta=90.00 gamma=90.00
With the nearest neighbours (Å) after each atom.
Space group F-43m (No. 216)
Inequivalent atoms, fractional coordinates:
Y 0.0000 0.0000 0.0000 x4  4 Ru 2.68
P 0.0000 0.0000 0.5000 x4  4 Ru 2.68
Ru 0.2500 0.2500 0.7500 x4  4 P 2.68, 4 Y 2.68

ΔE_f   -0.386 eV/atom
DOS(E_F)   12.811 states/eV per cell



Question: Which value of DOS(E_F) does entry 1 give?
Answer: 12.811 states/eV per cell